# Li2DySc3S6 PBE relaxed
data_Li2DySc3S6
_space_group_name_H-M_alt 'C 1 2/m 1'
_space_group_IT_number 12
_cell_length_a 6.427
_cell_length_b 11.135
_cell_length_c 6.556
_cell_angle_alpha 90.00
_cell_angle_beta 109.09
_cell_angle_gamma 90.00
loop_
_space_group_symop_operation_xyz
'x,y,z'
'-x,-y,-z'
'-x,y,-z'
'x,-y,z'
'x+1/2,y+1/2,z'
'-x+1/2,-y+1/2,-z'
'-x+1/2,y+1/2,-z'
'x+1/2,-y+1/2,z'
loop_
_atom_site_label
_atom_site_fract_x
_atom_site_fract_y
_atom_site_fract_z
Li1 0.000 0.168 0.000
Dy1 0.000 0.500 0.000
Sc1 0.000 0.000 0.500
Sc2 0.000 0.333 0.500
S1 0.244 0.170 0.743
S2 0.247 0.000 0.258
# - Uncorrected energy: -148.8 eV for the cell shown
# - Fermi-level density of states: 6.10 states/eV/cell


# Li3Dy3ScS8 PBE relaxed
data_Li3Dy3ScS8
_space_group_name_H-M_alt 'R -3 m'
_space_group_IT_number 166
_space_group_name_Hall '-R 3 2"'
_cell_length_a 7.7802
_cell_length_b 7.7802
_cell_length_c 18.2251
_cell_angle_alpha 90.00
_cell_angle_beta 90.00
_cell_angle_gamma 120.00
loop_
_atom_site_label
_atom_site_fract_x
_atom_site_fract_y
_atom_site_fract_z
Li1 0.0000 0.5000 0.0000
Dy1 0.0000 0.5000 0.5000
Sc1 0.0000 0.0000 0.5000
S1 0.0000 0.0000 0.2515
S2 0.0153 0.5076 0.2474
# - Uncorrected energy: -254.6 eV for the cell shown
# - Fermi-level density of states: 18.80 states/eV/cell


# Li3DySc4S8 PBE relaxed
data_Li3DySc4S8
_space_group_name_H-M_alt 'R -3 m'
_space_group_IT_number 166
_space_group_name_Hall '-R 3 2"'
_cell_length_a 7.4174
_cell_length_b 7.4174
_cell_length_c 18.5258
_cell_angle_alpha 90.00
_cell_angle_beta 90.00
_cell_angle_gamma 120.00
loop_
_atom_site_label
_atom_site_fract_x
_atom_site_fract_y
_atom_site_fract_z
Li1 0.0000 0.5000 0.0000
Dy1 0.0000 0.0000 0.0000
Sc1 0.0000 0.0000 0.5000
Sc2 0.0000 0.5000 0.5000
S1 0.0000 0.0000 0.2465
S2 0.0055 0.5028 0.2475
# - Uncorrected energy: -294.0 eV for the cell shown
# - Fermi-level density of states: 13.19 states/eV/cell